1.
Computed, not measured: a relaxed structure of NaCa2Cu at the PBE level of DFT.

abc: 14.2193 3.9310 9.0768
angles: 90.00 93.28 90.00
With the nearest neighbours (Å) after each atom.
Space group C2/m (No. 12)
One atom of each set of equivalent atoms:
Na 0.1321 0.0000 0.4710 [4 per cell]  7 Ca 3.74-3.92, 5 Na 3.82-3.93, 1 Cu 3.97
Ca 0.0318 0.5000 0.8012 [4 per cell]  4 Cu 2.97-3.05
Ca 0.2316 0.5000 0.1636 [4 per cell]  3 Cu 3.01-3.21
Cu 0.0888 0.0000 0.0354 [4 per cell]  1 Cu 2.57

Values from the calculation:
Fermi-level density of states = 0.46 states/eV per atom
Crystal system = monoclinic
Energy above the most stable polymorph in this dataset = 0.000 eV/atom
Calculated formation energy = -0.055 eV/atom
Raw total energy = -2.410 eV per atom



2.
Computed, not measured: a relaxed structure of SrB2AsS at the PBE level of DFT.

abc: 5.0186 5.0186 5.8545
angles: 90.00 90.00 90.00
With the nearest neighbours (Å) after each atom.
Space group P4/mmm (No. 123)
One atom of each set of equivalent atoms:
Sr 0.0000 0.0000 0.0000 [1 per cell]  4 B 2.51
B 0.0000 0.5000 0.0000 [2 per cell]  2 Sr 2.51
As 0.0000 0.0000 0.5000 [1 per cell]  2 Sr 2.93
S 0.5000 0.5000 0.5000 [1 per cell]  4 As 3.55, 8 B 3.86

Values from the calculation:
E_form (uncorrected) = 2.4075 eV per atom
Fermi-level density of states = 0.91 states/eV per atom
Crystal system = tetragonal
Raw total energy = -2.355 eV per atom



3.
Computed, not measured: a relaxed structure of CsHfCl3 at the PBE level of DFT.

abc: 6.1436 6.1436 6.1436
angles: 90.00 90.00 90.00
With the nearest neighbours (Å) after each atom.
Space group Pm-3m (No. 221)
One atom of each set of equivalent atoms:
Cs 0.0000 0.0000 0.0000 [1 per cell]  6 Cl 3.07
Hf 0.5000 0.5000 0.5000 [1 per cell]  12 Cl 4.34
Cl 0.0000 0.0000 0.5000 [3 per cell]  2 Cs 3.07

Values from the calculation:
E_form (uncorrected) = 0.3882 eV per atom
Fermi-level density of states = 5.52 states/eV per atom
Crystal system = cubic
Raw total energy = -2.881 eV per atom



4.
Computed, not measured: a relaxed structure of CdGa2SnIr at the PBE level of DFT.

abc: 4.8185 4.8185 5.3164
angles: 90.00 90.00 90.00
With the nearest neighbours (Å) after each atom.
Space group P4/mmm (No. 123)
One atom of each set of equivalent atoms:
Cd 0.0000 0.0000 0.0000 [1 per cell]  4 Sn 3.41, 8 Ga 3.59
Ga 0.0000 0.5000 0.5000 [2 per cell]  2 Ir 2.41
Sn 0.5000 0.5000 0.0000 [1 per cell]  2 Ir 2.66
Ir 0.5000 0.5000 0.5000 [1 per cell]  4 Ga 2.41, 2 Sn 2.66

Values from the calculation:
Fermi-level density of states = 0.45 states/eV per atom
Crystal system = tetragonal
Calculated formation energy = -0.075 eV/atom
Raw total energy = -4.042 eV per atom



5.
Computed, not measured: a relaxed structure of Ni2OsPb at the PBE level of DFT.

abc: 3.9769 3.9769 17.3487
angles: 90.00 90.00 90.00
With the nearest neighbours (Å) after each atom.
Space group I-42d (No. 122)
One atom of each set of equivalent atoms:
Ni 0.1756 0.2500 0.1250 [8 per cell]  2 Ni 2.43, 2 Os 2.49, 2 Pb 2.71
Os 0.0000 0.0000 0.0000 [4 per cell]  4 Ni 2.49
Pb 0.0000 0.0000 0.5000 [4 per cell]  4 Ni 2.71, 4 Os 2.81

Values from the calculation:
Fermi-level density of states = 1.62 states/eV per atom
Crystal system = tetragonal
Calculated formation energy = 0.877 eV/atom
Raw total energy = -5.748 eV per atom



6.
Computed, not measured: a relaxed structure of NaGe2Se2 at the PBE level of DFT.

abc: 8.1164 8.1164 3.7727
angles: 90.00 90.00 90.00
With the nearest neighbours (Å) after each atom.
Space group P4/mbm (No. 127)
One atom of each set of equivalent atoms:
Na 0.0000 0.0000 0.0000 [2 per cell]  4 Se 2.90
Ge 0.1355 0.3645 0.5000 [4 per cell]  2 Se 2.58
Se 0.2107 0.7107 0.0000 [4 per cell]  2 Ge 2.58

Values from the calculation:
E_form (uncorrected) = -0.2024 eV per atom
Fermi-level density of states = 0.56 states/eV per atom
Crystal system = tetragonal
Energy above the most stable polymorph in this dataset = 0.092 eV/atom
Raw total energy = -3.707 eV per atom